No. 1
Material: TbHoBC2
Method: DFT, PBE-GGA
State: optimized geometry

## Properties
The total energy comes out at -7.315 eV per atom.

```
data_TbHoBC2
_chemical_formula_sum 'Tb2 Ho2 B2 C4'
_symmetry_space_group_name_H-M 'C 1 m 1'
_symmetry_Int_Tables_number 8
_cell_length_a 5.124
_cell_length_b 5.123
_cell_length_c 6.019
_cell_angle_alpha 90.00
_cell_angle_beta 114.37
_cell_angle_gamma 90.00
loop_
_symmetry_equiv_pos_as_xyz
'x,y,z'
'x,-y,z'
'x+1/2,y+1/2,z'
'x+1/2,-y+1/2,z'
loop_
_atom_site_label
_atom_site_type_symbol
_atom_site_fract_x
_atom_site_fract_y
_atom_site_fract_z
Tb1 Tb 0.000 0.000 0.000
Ho1 Ho 0.198 0.500 0.407
B1 B 0.350 0.000 0.706
C1 C 0.211 0.000 0.434
C2 C 0.488 0.000 0.978
```

No. 2
Material: Ho2Tm2B3C4
Method: DFT, PBE-GGA
State: optimized geometry

## Properties
As for the distance to the lowest polymorph of the same formula: 0 meV/atom.

```
data_Ho2Tm2B3C4
_chemical_formula_sum 'Ho2 Tm2 B3 C4'
_symmetry_space_group_name_H-M 'P -1'
_symmetry_Int_Tables_number 2
_cell_length_a 3.470
_cell_length_b 3.567
_cell_length_c 11.843
_cell_angle_alpha 92.71
_cell_angle_beta 97.00
_cell_angle_gamma 90.12
loop_
_symmetry_equiv_pos_as_xyz
'x,y,z'
'-x,-y,-z'
loop_
_atom_site_label
_atom_site_type_symbol
_atom_site_fract_x
_atom_site_fract_y
_atom_site_fract_z
Ho1 Ho 0.196 0.477 0.350
Tm1 Tm 0.395 0.052 0.860
B1 B 0.000 0.500 0.000
B2 B 0.247 0.006 0.541
C1 C 0.099 0.441 0.122
C2 C 0.311 0.026 0.669
```

No. 3
Material: Ho2Tm2B3C4
Method: DFT, PBE-GGA
State: optimized geometry

## Properties
As for the distance to the lowest polymorph of the same formula: 11 meV/atom.

```
data_Ho2Tm2B3C4
_chemical_formula_sum 'Ho2 Tm2 B3 C4'
_symmetry_space_group_name_H-M 'P -1'
_symmetry_Int_Tables_number 2
_cell_length_a 3.469
_cell_length_b 3.562
_cell_length_c 11.851
_cell_angle_alpha 92.63
_cell_angle_beta 97.03
_cell_angle_gamma 90.13
loop_
_symmetry_equiv_pos_as_xyz
'x,y,z'
'-x,-y,-z'
loop_
_atom_site_label
_atom_site_type_symbol
_atom_site_fract_x
_atom_site_fract_y
_atom_site_fract_z
Ho1 Ho 0.105 0.448 0.140
Tm1 Tm 0.304 0.022 0.650
B1 B 0.253 0.494 0.459
B2 B 0.500 0.000 0.000
C1 C 0.189 0.474 0.332
C2 C 0.401 0.059 0.878
```

No. 4
Material: YHoB4C
Method: DFT, PBE-GGA
State: optimized geometry

## Properties
The total energy comes out at -7.280 eV per atom.

```
data_YHoB4C
_chemical_formula_sum 'Y2 Ho2 B8 C2'
_symmetry_space_group_name_H-M 'I m m 2'
_symmetry_Int_Tables_number 44
_cell_length_a 3.268
_cell_length_b 6.563
_cell_length_c 7.539
_cell_angle_alpha 90.00
_cell_angle_beta 90.00
_cell_angle_gamma 90.00
loop_
_symmetry_equiv_pos_as_xyz
'x,y,z'
'-x,-y,z'
'-x,y,z'
'x,-y,z'
'x+1/2,y+1/2,z+1/2'
'-x+1/2,-y+1/2,z+1/2'
'-x+1/2,y+1/2,z+1/2'
'x+1/2,-y+1/2,z+1/2'
loop_
_atom_site_label
_atom_site_type_symbol
_atom_site_fract_x
_atom_site_fract_y
_atom_site_fract_z
Y1 Y 0.000 0.000 0.000
Ho1 Ho 0.000 0.000 0.469
B1 B 0.000 0.273 0.734
B2 B 0.000 0.366 0.234
C1 C 0.000 0.500 0.735
```

No. 5
Material: B3IrC2
Method: DFT, PBE-GGA
State: optimized geometry

## Properties
The total energy comes out at -6.054 eV per atom.

```
data_B3IrC2
_chemical_formula_sum 'B6 Ir2 C4'
_symmetry_space_group_name_H-M 'C m m m'
_symmetry_Int_Tables_number 65
_symmetry_space_group_name_Hall '-C 2 2'
_cell_length_a 4.566
_cell_length_b 7.934
_cell_length_c 2.557
_cell_angle_alpha 90.00
_cell_angle_beta 90.00
_cell_angle_gamma 90.00
loop_
_atom_site_label
_atom_site_type_symbol
_atom_site_fract_x
_atom_site_fract_y
_atom_site_fract_z
B1 B 0.000 0.000 0.000
B2 B 0.250 0.250 0.000
Ir1 Ir 0.000 0.500 0.500
C1 C 0.000 0.167 0.500
```

No. 6
Material: LaNdB2Ir2C2
Method: DFT, PBE-GGA
State: optimized geometry

## Properties
The total energy comes out at -7.795 eV per atom.

```
data_LaNdB2Ir2C2
_chemical_formula_sum 'La1 Nd1 B2 Ir2 C2'
_symmetry_space_group_name_H-M 'P 4 m m'
_symmetry_Int_Tables_number 99
_cell_length_a 3.844
_cell_length_b 3.844
_cell_length_c 7.947
_cell_angle_alpha 90.00
_cell_angle_beta 90.00
_cell_angle_gamma 90.00
loop_
_symmetry_equiv_pos_as_xyz
'x,y,z'
'-y,x,z'
'-x,-y,z'
'y,-x,z'
'-x,y,z'
'y,x,z'
'x,-y,z'
'-y,-x,z'
loop_
_atom_site_label
_atom_site_type_symbol
_atom_site_fract_x
_atom_site_fract_y
_atom_site_fract_z
La1 La 0.000 0.000 0.000
Nd1 Nd 0.500 0.500 0.661
B1 B 0.000 0.000 0.480
B2 B 0.500 0.500 0.180
Ir1 Ir 0.000 0.500 0.331
C1 C 0.000 0.000 0.672
C2 C 0.500 0.500 0.987
```

No. 7
Material: PrSmB2Ir2C2
Method: DFT, PBE-GGA
State: optimized geometry

## Properties
The total energy comes out at -7.784 eV per atom.

```
data_PrSmB2Ir2C2
_chemical_formula_sum 'Pr1 Sm1 B2 Ir2 C2'
_symmetry_space_group_name_H-M 'P 4 m m'
_symmetry_Int_Tables_number 99
_cell_length_a 3.813
_cell_length_b 3.813
_cell_length_c 7.895
_cell_angle_alpha 90.00
_cell_angle_beta 90.00
_cell_angle_gamma 90.00
loop_
_symmetry_equiv_pos_as_xyz
'x,y,z'
'-y,x,z'
'-x,-y,z'
'y,-x,z'
'-x,y,z'
'y,x,z'
'x,-y,z'
'-y,-x,z'
loop_
_atom_site_label
_atom_site_type_symbol
_atom_site_fract_x
_atom_site_fract_y
_atom_site_fract_z
Pr1 Pr 0.000 0.000 0.000
Sm1 Sm 0.500 0.500 0.666
B1 B 0.000 0.000 0.484
B2 B 0.500 0.500 0.180
Ir1 Ir 0.000 0.500 0.334
C1 C 0.000 0.000 0.677
C2 C 0.500 0.500 0.986
```

No. 8
Material: TbYB2Ir2C2
Method: DFT, PBE-GGA
State: optimized geometry

## Properties
The total energy comes out at -8.062 eV per atom.

```
data_TbYB2Ir2C2
_chemical_formula_sum 'Tb1 Y1 B2 Ir2 C2'
_symmetry_space_group_name_H-M 'P 4 m m'
_symmetry_Int_Tables_number 99
_cell_length_a 3.740
_cell_length_b 3.740
_cell_length_c 7.795
_cell_angle_alpha 90.00
_cell_angle_beta 90.00
_cell_angle_gamma 90.00
loop_
_symmetry_equiv_pos_as_xyz
'x,y,z'
'-y,x,z'
'-x,-y,z'
'y,-x,z'
'-x,y,z'
'y,x,z'
'x,-y,z'
'-y,-x,z'
loop_
_atom_site_label
_atom_site_type_symbol
_atom_site_fract_x
_atom_site_fract_y
_atom_site_fract_z
Tb1 Tb 0.000 0.000 0.000
Y1 Y 0.500 0.500 0.677
B1 B 0.000 0.000 0.497
B2 B 0.500 0.500 0.179
Ir1 Ir 0.000 0.500 0.338
C1 C 0.000 0.000 0.691
C2 C 0.500 0.500 0.985
```

No. 9
Material: LaNdBC2
Method: DFT, PBE-GGA
State: optimized geometry

## Properties
The total energy comes out at -7.258 eV per atom.

```
data_LaNdBC2
_chemical_formula_sum 'La2 Nd2 B2 C4'
_symmetry_space_group_name_H-M 'C 1 m 1'
_symmetry_Int_Tables_number 8
_cell_length_a 5.475
_cell_length_b 5.474
_cell_length_c 6.159
_cell_angle_alpha 90.00
_cell_angle_beta 115.26
_cell_angle_gamma 90.00
loop_
_symmetry_equiv_pos_as_xyz
'x,y,z'
'x,-y,z'
'x+1/2,y+1/2,z'
'x+1/2,-y+1/2,z'
loop_
_atom_site_label
_atom_site_type_symbol
_atom_site_fract_x
_atom_site_fract_y
_atom_site_fract_z
La1 La 0.000 0.000 0.000
Nd1 Nd 0.296 0.000 0.577
B1 B 0.144 0.500 0.281
C1 C 0.009 0.500 0.014
C2 C 0.280 0.500 0.549
```

No. 10
Material: LaPr2Ni2B2C3
Method: DFT, PBE-GGA
State: optimized geometry

## Properties
The total energy comes out at -6.873 eV per atom.

```
data_LaPr2Ni2B2C3
_chemical_formula_sum 'La2 Pr4 Ni4 B4 C6'
_symmetry_space_group_name_H-M 'I 4/m m m'
_symmetry_Int_Tables_number 139
_symmetry_space_group_name_Hall '-I 4 2'
_cell_length_a 3.752
_cell_length_b 3.752
_cell_length_c 21.046
_cell_angle_alpha 90.00
_cell_angle_beta 90.00
_cell_angle_gamma 90.00
loop_
_atom_site_label
_atom_site_type_symbol
_atom_site_fract_x
_atom_site_fract_y
_atom_site_fract_z
La1 La 0.000 0.000 0.000
Pr1 Pr 0.000 0.000 0.371
Ni1 Ni 0.000 0.500 0.250
B1 B 0.000 0.000 0.201
C1 C 0.000 0.000 0.131
C2 C 0.000 0.000 0.500
```

No. 11
Material: LaPrNi2B2C2
Method: DFT, PBE-GGA
State: optimized geometry

## Properties
The total energy comes out at -6.923 eV per atom.

```
data_LaPrNi2B2C2
_chemical_formula_sum 'La1 Pr1 Ni2 B2 C2'
_symmetry_space_group_name_H-M 'P 4 m m'
_symmetry_Int_Tables_number 99
_cell_length_a 3.799
_cell_length_b 3.799
_cell_length_c 7.632
_cell_angle_alpha 90.00
_cell_angle_beta 90.00
_cell_angle_gamma 90.00
loop_
_symmetry_equiv_pos_as_xyz
'x,y,z'
'-y,x,z'
'-x,-y,z'
'y,-x,z'
'-x,y,z'
'y,x,z'
'x,-y,z'
'-y,-x,z'
loop_
_atom_site_label
_atom_site_type_symbol
_atom_site_fract_x
_atom_site_fract_y
_atom_site_fract_z
La1 La 0.000 0.000 0.000
Pr1 Pr 0.500 0.500 0.353
Ni1 Ni 0.000 0.500 0.676
B1 B 0.000 0.000 0.542
B2 B 0.500 0.500 0.813
C1 C 0.000 0.000 0.346
C2 C 0.500 0.500 0.008
```

No. 12
Material: LaSmBC2
Method: DFT, PBE-GGA
State: optimized geometry

## Properties
The total energy comes out at -7.267 eV per atom.

```
data_LaSmBC2
_chemical_formula_sum 'La2 Sm2 B2 C4'
_symmetry_space_group_name_H-M 'C 1 m 1'
_symmetry_Int_Tables_number 8
_cell_length_a 5.429
_cell_length_b 5.428
_cell_length_c 6.129
_cell_angle_alpha 90.00
_cell_angle_beta 115.21
_cell_angle_gamma 90.00
loop_
_symmetry_equiv_pos_as_xyz
'x,y,z'
'x,-y,z'
'x+1/2,y+1/2,z'
'x+1/2,-y+1/2,z'
loop_
_atom_site_label
_atom_site_type_symbol
_atom_site_fract_x
_atom_site_fract_y
_atom_site_fract_z
La1 La 0.000 0.000 0.000
Sm1 Sm 0.296 0.000 0.578
B1 B 0.141 0.500 0.277
C1 C 0.007 0.500 0.010
C2 C 0.279 0.500 0.546
```